No. 1
## Rb2Cd3Te4 (GGA-PBEsol)

Data for a relaxed structure of Rb2Cd3Te4.

Cell: 10.4713 10.4713 12.8923 Å, 107.68 107.68 92.95°
Fractional coordinates of all 36 atoms:
1 Rb 0.0000 0.0000 0.0000
2 Rb 0.0000 0.0000 0.5000
3 Rb 0.2448 0.2501 0.3635
4 Rb 0.2501 0.2448 0.8635
5 Rb 0.4999 0.5001 0.2500
6 Rb 0.5001 0.4999 0.7500
7 Rb 0.7499 0.7552 0.1365
8 Rb 0.7552 0.7499 0.6365
9 Cd 0.1127 0.5927 0.8020
10 Cd 0.1238 0.6490 0.0889
11 Cd 0.1413 0.6195 0.5440
12 Cd 0.3510 0.8762 0.4111
13 Cd 0.3805 0.8587 0.9560
14 Cd 0.4073 0.8873 0.6980
15 Cd 0.5927 0.1127 0.3020
16 Cd 0.6195 0.1413 0.0440
17 Cd 0.6490 0.1238 0.5889
18 Cd 0.8587 0.3805 0.4560
19 Cd 0.8762 0.3510 0.9111
20 Cd 0.8873 0.4073 0.1980
21 Te 0.1105 0.3925 0.1228
22 Te 0.1138 0.8862 0.2500
23 Te 0.1163 0.3800 0.6083
24 Te 0.1544 0.8456 0.7500
25 Te 0.3465 0.6185 0.0007
26 Te 0.3800 0.1163 0.1083
27 Te 0.3815 0.6535 0.4993
28 Te 0.3925 0.1105 0.6228
29 Te 0.6075 0.8895 0.3772
30 Te 0.6185 0.3465 0.5007
31 Te 0.6200 0.8837 0.8917
32 Te 0.6535 0.3815 0.9993
33 Te 0.8456 0.1544 0.2500
34 Te 0.8837 0.6200 0.3917
35 Te 0.8862 0.1138 0.7500
36 Te 0.8895 0.6075 0.8772

Computed properties:
The calculation puts the total magnetic moment at 0.00 μB/f.u. The value obtained for the uncorrected formation energy is -0.64 eV/atom. The space-group type is No. 15.

=====

No. 2
## BaIn2Br (GGA-PBEsol)

Data for a relaxed structure of BaIn2Br.

Cell: 4.2611 6.0421 9.8346 Å, 90.00 90.00 90.00°
Fractional coordinates of all 8 atoms:
1 Ba 0.0000 0.0000 0.0000
2 Ba 0.5000 0.5000 0.0000
3 In 0.0000 0.5000 0.2776
4 In 0.0000 0.5000 0.7224
5 In 0.5000 0.0000 0.2776
6 In 0.5000 0.0000 0.7224
7 Br 0.0000 0.0000 0.5000
8 Br 0.5000 0.5000 0.5000

Computed properties:
The calculation puts the total magnetic moment at 0.00 μB/f.u. For the offset from the most stable computed form, the calculation gives 0.475 eV per atom. The value obtained for the uncorrected formation energy is -0.23 eV/atom. The space-group type is No. 65.

=====

No. 3
## LaMn2Os2 (GGA-PBEsol)

Data for a relaxed structure of LaMn2Os2.

Cell: 4.1102 4.1102 9.7015 Å, 90.00 90.00 90.00°
Fractional coordinates of all 10 atoms:
1 La 0.0000 0.0000 0.0000
2 La 0.5000 0.5000 0.5000
3 Mn 0.0000 0.0000 0.3834
4 Mn 0.0000 0.0000 0.6166
5 Mn 0.5000 0.5000 0.1166
6 Mn 0.5000 0.5000 0.8834
7 Os 0.0000 0.5000 0.2500
8 Os 0.0000 0.5000 0.7500
9 Os 0.5000 0.0000 0.2500
10 Os 0.5000 0.0000 0.7500

Computed properties:
The calculation puts the total magnetic moment at 0.20 μB/f.u. For the energy relative to the elements, the calculation gives 0.1572 eV/atom. The space-group type is No. 139.

=====

No. 4
## RbCoSb2Cl (GGA-PBEsol)

Data for a relaxed structure of RbCoSb2Cl.

Cell: 5.9062 5.9062 4.0604 Å, 90.00 90.00 90.00°
Fractional coordinates of all 5 atoms:
1 Rb 0.0000 0.0000 0.0000
2 Co 0.5000 0.5000 0.0000
3 Sb 0.0000 0.5000 0.5000
4 Sb 0.5000 0.0000 0.5000
5 Cl 0.5000 0.5000 0.5000

Computed properties:
The calculation puts the total magnetic moment at 1.69 μB/f.u. The value obtained for the uncorrected formation energy is 0.60 eV/atom. The space-group type is No. 123.

=====

No. 5
## CrTc (GGA-PBEsol)

Data for a relaxed structure of CrTc.

Cell: 9.1488 2.8734 6.1383 Å, 90.00 110.18 90.00°
Fractional coordinates of all 12 atoms:
1 Cr 0.0000 0.0000 0.0000
2 Cr 0.1576 0.5000 0.8565
3 Cr 0.3424 0.0000 0.1435
4 Cr 0.5000 0.5000 0.0000
5 Cr 0.6576 0.0000 0.8565
6 Cr 0.8424 0.5000 0.1435
7 Tc 0.0000 0.0000 0.5000
8 Tc 0.1779 0.5000 0.3165
9 Tc 0.3221 0.0000 0.6835
10 Tc 0.5000 0.5000 0.5000
11 Tc 0.6779 0.0000 0.3165
12 Tc 0.8221 0.5000 0.6835

Computed properties:
The calculation puts the total magnetic moment at 0.00 μB/f.u. For the energy relative to the elements, the calculation gives 0.0767 eV/atom. The space-group type is No. 12.

=====

No. 6
## SiPtRh (GGA-PBEsol)

Data for a relaxed structure of SiPtRh.

Cell: 5.5968 5.5968 5.5968 Å, 90.00 90.00 90.00°
Fractional coordinates of all 12 atoms:
1 Si 0.0000 0.0000 0.0000
2 Si 0.0000 0.5000 0.5000
3 Si 0.5000 0.0000 0.5000
4 Si 0.5000 0.5000 0.0000
5 Pt 0.2500 0.2500 0.2500
6 Pt 0.2500 0.7500 0.7500
7 Pt 0.7500 0.2500 0.7500
8 Pt 0.7500 0.7500 0.2500
9 Rh 0.2500 0.2500 0.7500
10 Rh 0.2500 0.7500 0.2500
11 Rh 0.7500 0.2500 0.2500
12 Rh 0.7500 0.7500 0.7500

Computed properties:
The calculation puts the total magnetic moment at 0.00 μB/f.u. The value obtained for the uncorrected formation energy is -0.83 eV/atom. The space-group type is No. 216.